(1)
# Lu2GePb | the Alexandria database | PBE-GGA | relaxed
# - total moment (μB/cell) = 0.00
# - DFT total energy (eV for the cell shown) = -18.97
# - V (Å³ per cell) = 97.84
data_Lu2GePb
_symmetry_space_group_name_H-M 'P 4/m m m'
_symmetry_Int_Tables_number 123
_symmetry_space_group_name_Hall '-P 4 2'
_cell_length_a 4.8614
_cell_length_b 4.8614
_cell_length_c 4.1401
_cell_angle_alpha 90.00
_cell_angle_beta 90.00
_cell_angle_gamma 90.00
loop_
_atom_site_label
_atom_site_fract_x
_atom_site_fract_y
_atom_site_fract_z
Lu1 0.0000 0.5000 0.0000
Ge1 0.0000 0.0000 0.5000
Pb1 0.5000 0.5000 0.5000



(2)
# PmLuGePb | the Alexandria database | PBE-GGA | relaxed
# - total moment (μB/cell) = 0.00
# - DFT total energy (eV for the cell shown) = -76.81
# - V (Å³ per cell) = 419.85
data_PmLuGePb
_symmetry_space_group_name_H-M 'F -4 3 m'
_symmetry_Int_Tables_number 216
_symmetry_space_group_name_Hall 'F -4 2 3'
_cell_length_a 7.4880
_cell_length_b 7.4880
_cell_length_c 7.4880
_cell_angle_alpha 90.00
_cell_angle_beta 90.00
_cell_angle_gamma 90.00
loop_
_atom_site_label
_atom_site_fract_x
_atom_site_fract_y
_atom_site_fract_z
Pm1 0.0000 0.0000 0.0000
Lu1 0.0000 0.0000 0.5000
Ge1 0.2500 0.2500 0.7500
Pb1 0.2500 0.2500 0.2500



(3)
# LuGePd | the Alexandria database | PBE-GGA | relaxed
# - total moment (μB/cell) = 0.00
# - DFT total energy (eV for the cell shown) = -17.13
# - V (Å³ per cell) = 56.63
data_LuGePd
_symmetry_space_group_name_H-M 'P -6 m 2'
_symmetry_Int_Tables_number 187
_symmetry_space_group_name_Hall 'P -6 2'
_cell_length_a 4.4240
_cell_length_b 4.4240
_cell_length_c 3.3413
_cell_angle_alpha 90.00
_cell_angle_beta 90.00
_cell_angle_gamma 120.00
loop_
_atom_site_label
_atom_site_fract_x
_atom_site_fract_y
_atom_site_fract_z
Lu1 0.0000 0.0000 0.0000
Ge1 0.6667 0.3333 0.5000
Pd1 0.3333 0.6667 0.5000



(4)
# LuGePd2 | the Alexandria database | PBE-GGA | relaxed
# - total moment (μB/cell) = 0.00
# - DFT total energy (eV for the cell shown) = -22.43
# - V (Å³ per cell) = 70.79
data_LuGePd2
_symmetry_space_group_name_H-M 'P 4/m m m'
_symmetry_Int_Tables_number 123
_symmetry_space_group_name_Hall '-P 4 2'
_cell_length_a 4.3121
_cell_length_b 4.3121
_cell_length_c 3.8073
_cell_angle_alpha 90.00
_cell_angle_beta 90.00
_cell_angle_gamma 90.00
loop_
_atom_site_label
_atom_site_fract_x
_atom_site_fract_y
_atom_site_fract_z
Lu1 0.0000 0.0000 0.0000
Ge1 0.5000 0.5000 0.0000
Pd1 0.0000 0.5000 0.5000



(5)
# Lu2GePd | the Alexandria database | PBE-GGA | relaxed
# - total moment (μB/cell) = 0.01
# - DFT total energy (eV for the cell shown) = -22.15
# - V (Å³ per cell) = 83.46
data_Lu2GePd
_symmetry_space_group_name_H-M 'P 4/m m m'
_symmetry_Int_Tables_number 123
_symmetry_space_group_name_Hall '-P 4 2'
_cell_length_a 4.7916
_cell_length_b 4.7916
_cell_length_c 3.6352
_cell_angle_alpha 90.00
_cell_angle_beta 90.00
_cell_angle_gamma 90.00
loop_
_atom_site_label
_atom_site_fract_x
_atom_site_fract_y
_atom_site_fract_z
Lu1 0.0000 0.5000 0.0000
Ge1 0.0000 0.0000 0.5000
Pd1 0.5000 0.5000 0.5000



(6)
# LuGePd2 | the Alexandria database | PBE-GGA | relaxed
# - total moment (μB/cell) = 0.00
# - DFT total energy (eV for the cell shown) = -92.56
# - V (Å³ per cell) = 287.37
data_LuGePd2
_symmetry_space_group_name_H-M 'P n m a'
_symmetry_Int_Tables_number 62
_symmetry_space_group_name_Hall '-P 2ac 2n'
_cell_length_a 7.2259
_cell_length_b 7.1542
_cell_length_c 5.5589
_cell_angle_alpha 90.00
_cell_angle_beta 90.00
_cell_angle_gamma 90.00
loop_
_atom_site_label
_atom_site_fract_x
_atom_site_fract_y
_atom_site_fract_z
Lu1 0.0253 0.2500 0.1445
Ge1 0.1184 0.7500 0.3586
Pd1 0.1861 0.0506 0.5852



(7)
# LuGePd | the Alexandria database | PBE-GGA | relaxed
# - total moment (μB/cell) = 0.00
# - DFT total energy (eV for the cell shown) = -32.38
# - V (Å³ per cell) = 118.36
data_LuGePd
_symmetry_space_group_name_H-M 'I 4 m m'
_symmetry_Int_Tables_number 107
_symmetry_space_group_name_Hall 'I 4 -2'
_cell_length_a 3.7266
_cell_length_b 3.7266
_cell_length_c 8.5232
_cell_angle_alpha 90.00
_cell_angle_beta 90.00
_cell_angle_gamma 90.00
loop_
_atom_site_label
_atom_site_fract_x
_atom_site_fract_y
_atom_site_fract_z
Lu1 0.0000 0.0000 0.0000
Ge1 0.0000 0.0000 0.6719
Pd1 0.0000 0.0000 0.3509



(8)
# LuGePd | the Alexandria database | PBE-GGA | relaxed
# - total moment (μB/cell) = 0.00
# - DFT total energy (eV for the cell shown) = -206.87
# - V (Å³ per cell) = 678.27
data_LuGePd
_symmetry_space_group_name_H-M 'I m m 2'
_symmetry_Int_Tables_number 44
_symmetry_space_group_name_Hall 'I 2 -2'
_cell_length_a 4.3620
_cell_length_b 20.5219
_cell_length_c 7.5771
_cell_angle_alpha 90.00
_cell_angle_beta 90.00
_cell_angle_gamma 90.00
loop_
_atom_site_label
_atom_site_fract_x
_atom_site_fract_y
_atom_site_fract_z
Lu1 0.0000 0.0000 0.0000
Lu2 0.0000 0.1664 0.9267
Lu3 0.0000 0.3327 0.0032
Lu4 0.0000 0.5000 0.9212
Ge1 0.0000 0.0659 0.6202
Ge2 0.0000 0.2376 0.3078
Ge3 0.0000 0.4087 0.6234
Pd1 0.0000 0.1051 0.2942
Pd2 0.0000 0.2678 0.6369
Pd3 0.0000 0.4270 0.2906



(9)
# PrLuGePd | the Alexandria database | PBE-GGA | relaxed
# - total moment (μB/cell) = 0.00
# - DFT total energy (eV for the cell shown) = -88.27
# - V (Å³ per cell) = 369.44
data_PrLuGePd
_symmetry_space_group_name_H-M 'F -4 3 m'
_symmetry_Int_Tables_number 216
_symmetry_space_group_name_Hall 'F -4 2 3'
_cell_length_a 7.1755
_cell_length_b 7.1755
_cell_length_c 7.1755
_cell_angle_alpha 90.00
_cell_angle_beta 90.00
_cell_angle_gamma 90.00
loop_
_atom_site_label
_atom_site_fract_x
_atom_site_fract_y
_atom_site_fract_z
Pr1 0.0000 0.0000 0.0000
Lu1 0.0000 0.0000 0.5000
Ge1 0.2500 0.2500 0.2500
Pd1 0.2500 0.2500 0.7500



(10)
# LuPuGePd | the Alexandria database | PBE-GGA | relaxed
# - total moment (μB/cell) = 21.07
# - DFT total energy (eV for the cell shown) = -123.91
# - V (Å³ per cell) = 349.12
data_LuPuGePd
_symmetry_space_group_name_H-M 'F -4 3 m'
_symmetry_Int_Tables_number 216
_symmetry_space_group_name_Hall 'F -4 2 3'
_cell_length_a 7.0414
_cell_length_b 7.0414
_cell_length_c 7.0414
_cell_angle_alpha 90.00
_cell_angle_beta 90.00
_cell_angle_gamma 90.00
loop_
_atom_site_label
_atom_site_fract_x
_atom_site_fract_y
_atom_site_fract_z
Lu1 0.0000 0.0000 0.0000
Pu1 0.0000 0.0000 0.5000
Ge1 0.2500 0.2500 0.7500
Pd1 0.2500 0.2500 0.2500



(11)
# LuGePdRu | the Alexandria database | PBE-GGA | relaxed
# - total moment (μB/cell) = 0.00
# - DFT total energy (eV for the cell shown) = -102.96
# - V (Å³ per cell) = 265.76
data_LuGePdRu
_symmetry_space_group_name_H-M 'F -4 3 m'
_symmetry_Int_Tables_number 216
_symmetry_space_group_name_Hall 'F -4 2 3'
_cell_length_a 6.4293
_cell_length_b 6.4293
_cell_length_c 6.4293
_cell_angle_alpha 90.00
_cell_angle_beta 90.00
_cell_angle_gamma 90.00
loop_
_atom_site_label
_atom_site_fract_x
_atom_site_fract_y
_atom_site_fract_z
Lu1 0.0000 0.0000 0.0000
Ge1 0.0000 0.0000 0.5000
Pd1 0.2500 0.2500 0.2500
Ru1 0.2500 0.2500 0.7500



(12)
# LuScGePd | the Alexandria database | PBE-GGA | relaxed
# - total moment (μB/cell) = 0.00
# - DFT total energy (eV for the cell shown) = -95.66
# - V (Å³ per cell) = 315.51
data_LuScGePd
_symmetry_space_group_name_H-M 'F -4 3 m'
_symmetry_Int_Tables_number 216
_symmetry_space_group_name_Hall 'F -4 2 3'
_cell_length_a 6.8077
_cell_length_b 6.8077
_cell_length_c 6.8077
_cell_angle_alpha 90.00
_cell_angle_beta 90.00
_cell_angle_gamma 90.00
loop_
_atom_site_label
_atom_site_fract_x
_atom_site_fract_y
_atom_site_fract_z
Lu1 0.0000 0.0000 0.0000
Sc1 0.0000 0.0000 0.5000
Ge1 0.2500 0.2500 0.7500
Pd1 0.2500 0.2500 0.2500



(13)
# SmLuGePd | the Alexandria database | PBE-GGA | relaxed
# - total moment (μB/cell) = 0.00
# - DFT total energy (eV for the cell shown) = -88.70
# - V (Å³ per cell) = 357.55
data_SmLuGePd
_symmetry_space_group_name_H-M 'F -4 3 m'
_symmetry_Int_Tables_number 216
_symmetry_space_group_name_Hall 'F -4 2 3'
_cell_length_a 7.0976
_cell_length_b 7.0976
_cell_length_c 7.0976
_cell_angle_alpha 90.00
_cell_angle_beta 90.00
_cell_angle_gamma 90.00
loop_
_atom_site_label
_atom_site_fract_x
_atom_site_fract_y
_atom_site_fract_z
Sm1 0.0000 0.0000 0.0000
Lu1 0.0000 0.0000 0.5000
Ge1 0.2500 0.2500 0.2500
Pd1 0.2500 0.2500 0.7500



(14)
# LuSnGePd | the Alexandria database | PBE-GGA | relaxed
# - total moment (μB/cell) = 0.00
# - DFT total energy (eV for the cell shown) = -80.66
# - V (Å³ per cell) = 327.48
data_LuSnGePd
_symmetry_space_group_name_H-M 'F -4 3 m'
_symmetry_Int_Tables_number 216
_symmetry_space_group_name_Hall 'F -4 2 3'
_cell_length_a 6.8928
_cell_length_b 6.8928
_cell_length_c 6.8928
_cell_angle_alpha 90.00
_cell_angle_beta 90.00
_cell_angle_gamma 90.00
loop_
_atom_site_label
_atom_site_fract_x
_atom_site_fract_y
_atom_site_fract_z
Lu1 0.0000 0.0000 0.0000
Sn1 0.0000 0.0000 0.5000
Ge1 0.2500 0.2500 0.2500
Pd1 0.2500 0.2500 0.7500



(15)
# TbLuGePd | the Alexandria database | PBE-GGA | relaxed
# - total moment (μB/cell) = 0.00
# - DFT total energy (eV for the cell shown) = -88.85
# - V (Å³ per cell) = 347.92
data_TbLuGePd
_symmetry_space_group_name_H-M 'F -4 3 m'
_symmetry_Int_Tables_number 216
_symmetry_space_group_name_Hall 'F -4 2 3'
_cell_length_a 7.0333
_cell_length_b 7.0333
_cell_length_c 7.0333
_cell_angle_alpha 90.00
_cell_angle_beta 90.00
_cell_angle_gamma 90.00
loop_
_atom_site_label
_atom_site_fract_x
_atom_site_fract_y
_atom_site_fract_z
Tb1 0.0000 0.0000 0.0000
Lu1 0.0000 0.0000 0.5000
Ge1 0.2500 0.2500 0.2500
Pd1 0.2500 0.2500 0.7500



(16)
# YLuGePd | the Alexandria database | PBE-GGA | relaxed
# - total moment (μB/cell) = 0.00
# - DFT total energy (eV for the cell shown) = -96.32
# - V (Å³ per cell) = 346.56
data_YLuGePd
_symmetry_space_group_name_H-M 'F -4 3 m'
_symmetry_Int_Tables_number 216
_symmetry_space_group_name_Hall 'F -4 2 3'
_cell_length_a 7.0241
_cell_length_b 7.0241
_cell_length_c 7.0241
_cell_angle_alpha 90.00
_cell_angle_beta 90.00
_cell_angle_gamma 90.00
loop_
_atom_site_label
_atom_site_fract_x
_atom_site_fract_y
_atom_site_fract_z
Y1 0.0000 0.0000 0.0000
Lu1 0.0000 0.0000 0.5000
Ge1 0.2500 0.2500 0.7500
Pd1 0.2500 0.2500 0.2500



(17)
# LuZrGePd | the Alexandria database | PBE-GGA | relaxed
# - total moment (μB/cell) = 4.54
# - DFT total energy (eV for the cell shown) = -101.83
# - V (Å³ per cell) = 318.64
data_LuZrGePd
_symmetry_space_group_name_H-M 'F -4 3 m'
_symmetry_Int_Tables_number 216
_symmetry_space_group_name_Hall 'F -4 2 3'
_cell_length_a 6.8302
_cell_length_b 6.8302
_cell_length_c 6.8302
_cell_angle_alpha 90.00
_cell_angle_beta 90.00
_cell_angle_gamma 90.00
loop_
_atom_site_label
_atom_site_fract_x
_atom_site_fract_y
_atom_site_fract_z
Lu1 0.0000 0.0000 0.0000
Zr1 0.0000 0.0000 0.5000
Ge1 0.2500 0.2500 0.2500
Pd1 0.2500 0.2500 0.7500



(18)
# PmLu2Ge | the Alexandria database | PBE-GGA | relaxed
# - total moment (μB/cell) = 0.00
# - DFT total energy (eV for the cell shown) = -55.89
# - V (Å³ per cell) = 328.88
# - energy above the most stable polymorph in this dataset (eV per formula unit) = 0.99
data_PmLu2Ge
_symmetry_space_group_name_H-M 'R -3 m'
_symmetry_Int_Tables_number 166
_symmetry_space_group_name_Hall '-R 3 2"'
_cell_length_a 4.8275
_cell_length_b 4.8275
_cell_length_c 16.2950
_cell_angle_alpha 90.00
_cell_angle_beta 90.00
_cell_angle_gamma 120.00
loop_
_atom_site_label
_atom_site_fract_x
_atom_site_fract_y
_atom_site_fract_z
Pm1 0.0000 0.0000 0.0000
Lu1 0.0000 0.0000 0.2237
Ge1 0.0000 0.0000 0.5000



(19)
# Pm2LuGe | the Alexandria database | PBE-GGA | relaxed
# - total moment (μB/cell) = 0.00
# - DFT total energy (eV for the cell shown) = -19.92
# - V (Å³ per cell) = 105.33
# - energy above the most stable polymorph in this dataset (eV per formula unit) = 0.03
data_Pm2LuGe
_symmetry_space_group_name_H-M 'P 4/m m m'
_symmetry_Int_Tables_number 123
_symmetry_space_group_name_Hall '-P 4 2'
_cell_length_a 4.7056
_cell_length_b 4.7056
_cell_length_c 4.7567
_cell_angle_alpha 90.00
_cell_angle_beta 90.00
_cell_angle_gamma 90.00
loop_
_atom_site_label
_atom_site_fract_x
_atom_site_fract_y
_atom_site_fract_z
Pm1 0.0000 0.5000 0.0000
Lu1 0.0000 0.0000 0.5000
Ge1 0.5000 0.5000 0.5000



(20)
# PmLuGe | the Alexandria database | PBE-GGA | relaxed
# - total moment (μB/cell) = 0.00
# - DFT total energy (eV for the cell shown) = -61.59
# - V (Å³ per cell) = 332.86
# - energy above the most stable polymorph in this dataset (eV per formula unit) = 0.00
data_PmLuGe
_symmetry_space_group_name_H-M 'F -4 3 m'
_symmetry_Int_Tables_number 216
_symmetry_space_group_name_Hall 'F -4 2 3'
_cell_length_a 6.9303
_cell_length_b 6.9303
_cell_length_c 6.9303
_cell_angle_alpha 90.00
_cell_angle_beta 90.00
_cell_angle_gamma 90.00
loop_
_atom_site_label
_atom_site_fract_x
_atom_site_fract_y
_atom_site_fract_z
Pm1 0.0000 0.0000 0.0000
Lu1 0.0000 0.0000 0.5000
Ge1 0.2500 0.2500 0.7500